First-principles (PBE-GGA) data for crystalline CsNbSn2P at its relaxed geometry, as listed in Alexandria via LeMat-Bulk.

Calculated density ... 4.41 g/cm3
Formation energy ... 948 meV/atom
Crystal system ... tetragonal

```
data_CsNbSn2P
_chemical_formula_sum 'Cs1 Nb1 Sn2 P1'
_cell_length_a 5.430
_cell_length_b 5.430
_cell_length_c 6.311
_cell_angle_alpha 90.00
_cell_angle_beta 90.00
_cell_angle_gamma 90.00
_symmetry_space_group_name_H-M 'P 4/m m m'
_symmetry_Int_Tables_number 123
_symmetry_space_group_name_Hall '-P 4 2'
loop_
_atom_site_label
_atom_site_fract_x
_atom_site_fract_y
_atom_site_fract_z
Cs1 0.000 0.000 0.000
Nb1 0.000 0.000 0.500
Sn1 0.000 0.500 0.500
P1 0.500 0.500 0.000
```